No. 1
Computed, not measured: crystalline CeRhPb at its relaxed geometry at the GGA-PBE level of DFT.

```
data_CeRhPb
_symmetry_space_group_name_H-M 'P m m a'
_symmetry_Int_Tables_number 51
_cell_length_a 13.6506
_cell_length_b 3.8791
_cell_length_c 7.9438
_cell_angle_alpha 90.00
_cell_angle_beta 90.00
_cell_angle_gamma 90.00
loop_
_symmetry_equiv_pos_as_xyz
'x,y,z'
'-x,-y,-z'
'-x+1/2,-y,z'
'x+1/2,y,-z'
'x+1/2,-y,-z'
'-x+1/2,y,z'
'-x,y,-z'
'x,-y,z'
loop_
_atom_site_label
_atom_site_fract_x
_atom_site_fract_y
_atom_site_fract_z
Ce1 0.0459 0.0000 0.2162
Ce2 0.2500 0.0000 0.8460
Rh1 0.0985 0.5000 0.9257
Rh2 0.2500 0.0000 0.4449
Pb1 0.1174 0.5000 0.5656
Pb2 0.2500 0.5000 0.1847
```

No. 2
Computed, not measured: crystalline CeRh2Pb at its relaxed geometry at the GGA-PBE level of DFT.

```
data_CeRh2Pb
_symmetry_space_group_name_H-M 'P 4/m m m'
_symmetry_Int_Tables_number 123
_symmetry_space_group_name_Hall '-P 4 2'
_cell_length_a 4.7110
_cell_length_b 4.7110
_cell_length_c 3.6022
_cell_angle_alpha 90.00
_cell_angle_beta 90.00
_cell_angle_gamma 90.00
loop_
_atom_site_label
_atom_site_fract_x
_atom_site_fract_y
_atom_site_fract_z
Ce1 0.0000 0.0000 0.0000
Rh1 0.0000 0.5000 0.5000
Pb1 0.5000 0.5000 0.0000
```

Number 1: energy relative to the elements -0.60 eV per atom, spin magnetization 0.5 μB per formula unit, density of states at the Fermi level 1.7262 states/eV/atom. Number 2: energy relative to the elements -0.45 eV per atom, spin magnetization 0.4 μB per formula unit, density of states at the Fermi level 1.6241 states/eV/atom.